This record from Alexandria via LeMat-Bulk describes a geometry-optimized Cd3NiO structure. The functional is PBE+U.

Results
**Spin magnetization**: 0.0 μB/f.u.
**VASP energy**: -1.6943 eV per atom
**N(E_F)**: 1.5 states/eV per cell

a = 4.518 Å, b = 4.518 Å, c = 4.518 Å
α = 90.00°, β = 90.00°, γ = 90.00°
Atoms (fractional coordinates):
O: 0.000 0.000 0.000
Cd: 0.000 0.000 0.500
Cd: 0.000 0.500 0.000
Ni: 0.500 0.500 0.500
Cd: 0.500 0.000 0.000